1.
# GGA-PBE NaNiI2N, optimized geometry
# **V**: 117 Å³ per cell
# **Density of states at the Fermi level**: 4.95 states/eV per cell
# **Total magnetization**: 0.22 μB per cell
# **Excess energy over the best structure of this formula in the dataset**: 0.0000 eV per atom
data_NaNiI2N
_chemical_formula_sum 'Na1 Ni1 I2 N1'
_cell_length_a 5.750
_cell_length_b 5.750
_cell_length_c 3.537
_cell_angle_alpha 90.00
_cell_angle_beta 90.00
_cell_angle_gamma 90.00
_space_group_name_H-M_alt 'P 4/m m m'
_space_group_IT_number 123
_space_group_name_Hall '-P 4 2'
loop_
_atom_site_label
_atom_site_type_symbol
_atom_site_fract_x
_atom_site_fract_y
_atom_site_fract_z
Na1 Na 0.000 0.000 0.000
Ni1 Ni 0.500 0.500 0.500
I1 I 0.000 0.500 0.500
N1 N 0.500 0.500 0.000

***

2.
# GGA-PBE NaNiI2N, optimized geometry
# **V**: 150 Å³ per cell
# **Density of states at the Fermi level**: 15.69 states/eV per cell
# **Total magnetization**: 1.23 μB per cell
# **Excess energy over the best structure of this formula in the dataset**: 1.4463 eV per atom
data_NaNiI2N
_chemical_formula_sum 'Na1 Ni1 I2 N1'
_cell_length_a 5.844
_cell_length_b 5.844
_cell_length_c 4.395
_cell_angle_alpha 90.00
_cell_angle_beta 90.00
_cell_angle_gamma 90.00
_space_group_name_H-M_alt 'P 4/m m m'
_space_group_IT_number 123
_space_group_name_Hall '-P 4 2'
loop_
_atom_site_label
_atom_site_type_symbol
_atom_site_fract_x
_atom_site_fract_y
_atom_site_fract_z
Na1 Na 0.000 0.000 0.000
Ni1 Ni 0.500 0.500 0.500
I1 I 0.000 0.500 0.000
N1 N 0.000 0.000 0.500

***

3.
# GGA-PBE NaI2NO, optimized geometry
# **V**: 156 Å³ per cell
# **Density of states at the Fermi level**: 11.40 states/eV per cell
# **Total magnetization**: 1.57 μB per cell
# **Excess energy over the best structure of this formula in the dataset**: 0.7215 eV per atom
data_NaI2NO
_chemical_formula_sum 'Na1 I2 N1 O1'
_cell_length_a 6.046
_cell_length_b 6.046
_cell_length_c 4.263
_cell_angle_alpha 90.00
_cell_angle_beta 90.00
_cell_angle_gamma 90.00
_space_group_name_H-M_alt 'P 4/m m m'
_space_group_IT_number 123
_space_group_name_Hall '-P 4 2'
loop_
_atom_site_label
_atom_site_type_symbol
_atom_site_fract_x
_atom_site_fract_y
_atom_site_fract_z
Na1 Na 0.000 0.000 0.000
I1 I 0.000 0.500 0.000
N1 N 0.500 0.500 0.500
O1 O 0.000 0.000 0.500

***

4.
# GGA-PBE NaINO2, optimized geometry
# **Total energy**: -2.8011 eV/atom
# **V**: 123 Å³ per cell
# **Density of states at the Fermi level**: 2.27 states/eV per cell
# **Total magnetization**: 1.00 μB per cell
data_NaINO2
_chemical_formula_sum 'Na1 I1 N1 O2'
_cell_length_a 4.320
_cell_length_b 4.320
_cell_length_c 6.612
_cell_angle_alpha 90.00
_cell_angle_beta 90.00
_cell_angle_gamma 90.00
_space_group_name_H-M_alt 'P 4/m m m'
_space_group_IT_number 123
_space_group_name_Hall '-P 4 2'
loop_
_atom_site_label
_atom_site_type_symbol
_atom_site_fract_x
_atom_site_fract_y
_atom_site_fract_z
Na1 Na 0.000 0.000 0.000
I1 I 0.000 0.000 0.500
N1 N 0.500 0.500 0.500
O1 O 0.000 0.500 0.000

***

5.
# GGA-PBE NaINO2, optimized geometry
# **Total energy**: -3.3182 eV/atom
# **V**: 74 Å³ per cell
# **Density of states at the Fermi level**: 3.48 states/eV per cell
# **Total magnetization**: 0.67 μB per cell
data_NaINO2
_chemical_formula_sum 'Na1 I1 N1 O2'
_cell_length_a 4.156
_cell_length_b 4.156
_cell_length_c 4.288
_cell_angle_alpha 90.00
_cell_angle_beta 90.00
_cell_angle_gamma 90.00
_space_group_name_H-M_alt 'P 4/m m m'
_space_group_IT_number 123
_space_group_name_Hall '-P 4 2'
loop_
_atom_site_label
_atom_site_type_symbol
_atom_site_fract_x
_atom_site_fract_y
_atom_site_fract_z
Na1 Na 0.000 0.000 0.000
I1 I 0.500 0.500 0.000
N1 N 0.500 0.500 0.500
O1 O 0.000 0.500 0.500

***

6.
# GGA-PBE NaINO2, optimized geometry
# **Total energy**: -2.8662 eV/atom
# **V**: 92 Å³ per cell
# **Density of states at the Fermi level**: 4.44 states/eV per cell
# **Total magnetization**: 5.56 μB per cell
data_NaINO2
_chemical_formula_sum 'Na1 I1 N1 O2'
_cell_length_a 4.364
_cell_length_b 4.364
_cell_length_c 4.826
_cell_angle_alpha 90.00
_cell_angle_beta 90.00
_cell_angle_gamma 90.00
_space_group_name_H-M_alt 'P 4/m m m'
_space_group_IT_number 123
_space_group_name_Hall '-P 4 2'
loop_
_atom_site_label
_atom_site_type_symbol
_atom_site_fract_x
_atom_site_fract_y
_atom_site_fract_z
Na1 Na 0.000 0.000 0.000
I1 I 0.500 0.500 0.500
N1 N 0.000 0.000 0.500
O1 O 0.000 0.500 0.000

***

7.
# GGA-PBE NaINO2, optimized geometry
# **Total energy**: -4.0214 eV/atom
# **V**: 69 Å³ per cell
# **Density of states at the Fermi level**: 2.28 states/eV per cell
# **Total magnetization**: 0.00 μB per cell
data_NaINO2
_chemical_formula_sum 'Na1 I1 N1 O2'
_cell_length_a 4.143
_cell_length_b 4.143
_cell_length_c 4.013
_cell_angle_alpha 90.00
_cell_angle_beta 90.00
_cell_angle_gamma 90.00
_space_group_name_H-M_alt 'P 4/m m m'
_space_group_IT_number 123
_space_group_name_Hall '-P 4 2'
loop_
_atom_site_label
_atom_site_type_symbol
_atom_site_fract_x
_atom_site_fract_y
_atom_site_fract_z
Na1 Na 0.000 0.000 0.000
I1 I 0.500 0.500 0.500
N1 N 0.500 0.500 0.000
O1 O 0.000 0.500 0.500

***

8.
# GGA-PBE NaI2NO, optimized geometry
# **V**: 169 Å³ per cell
# **Density of states at the Fermi level**: 4.02 states/eV per cell
# **Total magnetization**: 6.02 μB per cell
# **Excess energy over the best structure of this formula in the dataset**: 0.7185 eV per atom
data_NaI2NO
_chemical_formula_sum 'Na1 I2 N1 O1'
_cell_length_a 5.956
_cell_length_b 5.956
_cell_length_c 4.766
_cell_angle_alpha 90.00
_cell_angle_beta 90.00
_cell_angle_gamma 90.00
_space_group_name_H-M_alt 'P 4/m m m'
_space_group_IT_number 123
_space_group_name_Hall '-P 4 2'
loop_
_atom_site_label
_atom_site_type_symbol
_atom_site_fract_x
_atom_site_fract_y
_atom_site_fract_z
Na1 Na 0.000 0.000 0.000
I1 I 0.000 0.500 0.000
N1 N 0.000 0.000 0.500
O1 O 0.500 0.500 0.500

***

9.
# GGA-PBE NaI2NO, optimized geometry
# **V**: 114 Å³ per cell
# **Density of states at the Fermi level**: 0.81 states/eV per cell
# **Total magnetization**: 2.22 μB per cell
# **Excess energy over the best structure of this formula in the dataset**: 0.1716 eV per atom
data_NaI2NO
_chemical_formula_sum 'Na1 I2 N1 O1'
_cell_length_a 5.247
_cell_length_b 5.247
_cell_length_c 4.136
_cell_angle_alpha 90.00
_cell_angle_beta 90.00
_cell_angle_gamma 90.00
_space_group_name_H-M_alt 'P 4/m m m'
_space_group_IT_number 123
_space_group_name_Hall '-P 4 2'
loop_
_atom_site_label
_atom_site_type_symbol
_atom_site_fract_x
_atom_site_fract_y
_atom_site_fract_z
Na1 Na 0.000 0.000 0.000
I1 I 0.000 0.500 0.500
N1 N 0.500 0.500 0.000
O1 O 0.500 0.500 0.500

***

10.
# GGA-PBE NaOsI2N, optimized geometry
# **V**: 143 Å³ per cell
# **Density of states at the Fermi level**: 4.22 states/eV per cell
# **Total magnetization**: 6.57 μB per cell
# **Excess energy over the best structure of this formula in the dataset**: 1.9231 eV per atom
data_NaOsI2N
_chemical_formula_sum 'Na1 Os1 I2 N1'
_cell_length_a 5.761
_cell_length_b 5.761
_cell_length_c 4.314
_cell_angle_alpha 90.00
_cell_angle_beta 90.00
_cell_angle_gamma 90.00
_space_group_name_H-M_alt 'P 4/m m m'
_space_group_IT_number 123
_space_group_name_Hall '-P 4 2'
loop_
_atom_site_label
_atom_site_type_symbol
_atom_site_fract_x
_atom_site_fract_y
_atom_site_fract_z
Na1 Na 0.000 0.000 0.000
Os1 Os 0.500 0.500 0.500
I1 I 0.000 0.500 0.000
N1 N 0.000 0.000 0.500

***

11.
# GGA-PBE NaOsI2N, optimized geometry
# **V**: 122 Å³ per cell
# **Density of states at the Fermi level**: 2.40 states/eV per cell
# **Total magnetization**: 0.00 μB per cell
# **Excess energy over the best structure of this formula in the dataset**: 0.0000 eV per atom
data_NaOsI2N
_chemical_formula_sum 'Na1 Os1 I2 N1'
_cell_length_a 5.697
_cell_length_b 5.697
_cell_length_c 3.770
_cell_angle_alpha 90.00
_cell_angle_beta 90.00
_cell_angle_gamma 90.00
_space_group_name_H-M_alt 'P 4/m m m'
_space_group_IT_number 123
_space_group_name_Hall '-P 4 2'
loop_
_atom_site_label
_atom_site_type_symbol
_atom_site_fract_x
_atom_site_fract_y
_atom_site_fract_z
Na1 Na 0.000 0.000 0.000
Os1 Os 0.500 0.500 0.500
I1 I 0.000 0.500 0.500
N1 N 0.500 0.500 0.000

***

12.
# GGA-PBE NaPI2N, optimized geometry
# **V**: 132 Å³ per cell
# **Density of states at the Fermi level**: 0.36 states/eV per cell
# **Total magnetization**: 0.00 μB per cell
# **Excess energy over the best structure of this formula in the dataset**: 0.0000 eV per atom
data_NaPI2N
_chemical_formula_sum 'Na1 P1 I2 N1'
_cell_length_a 6.218
_cell_length_b 6.218
_cell_length_c 3.406
_cell_angle_alpha 90.00
_cell_angle_beta 90.00
_cell_angle_gamma 90.00
_space_group_name_H-M_alt 'P 4/m m m'
_space_group_IT_number 123
_space_group_name_Hall '-P 4 2'
loop_
_atom_site_label
_atom_site_type_symbol
_atom_site_fract_x
_atom_site_fract_y
_atom_site_fract_z
Na1 Na 0.000 0.000 0.000
P1 P 0.500 0.500 0.500
I1 I 0.000 0.500 0.500
N1 N 0.500 0.500 0.000

***

13.
# GGA-PBE NaPIN2, optimized geometry
# **V**: 127 Å³ per cell
# **Density of states at the Fermi level**: 5.04 states/eV per cell
# **Total magnetization**: 5.13 μB per cell
# **Excess energy over the best structure of this formula in the dataset**: 1.3603 eV per atom
data_NaPIN2
_chemical_formula_sum 'Na1 P1 I1 N2'
_cell_length_a 4.404
_cell_length_b 4.404
_cell_length_c 6.548
_cell_angle_alpha 90.00
_cell_angle_beta 90.00
_cell_angle_gamma 90.00
_space_group_name_H-M_alt 'P 4/m m m'
_space_group_IT_number 123
_space_group_name_Hall '-P 4 2'
loop_
_atom_site_label
_atom_site_type_symbol
_atom_site_fract_x
_atom_site_fract_y
_atom_site_fract_z
Na1 Na 0.000 0.000 0.000
P1 P 0.500 0.500 0.500
I1 I 0.000 0.000 0.500
N1 N 0.000 0.500 0.000